Entry from the Alexandria database: a geometry-optimized InRe2Sb structure (PBE).

Values from the calculation:
Uncorrected energy: -7.0506 eV per atom
Energy above the lowest structure with this stoichiometry: 644 meV/atom
Volume: 18.4 A^3/atom
Crystal system: orthorhombic
Formation energy (no corrections): 0.889 eV per atom

a = 3.1618 Å, b = 5.1635 Å, c = 9.0141 Å
α = 90.00°, β = 90.00°, γ = 90.00°
Closest atoms and distances in Å follow each position.
Space group Immm (No. 71)
Symmetry-distinct sites (fractional):
In 0.0000 0.0000 0.0000 [2 per cell]  4 Re 2.87, 4 Sb 3.03, 2 In 3.16
Re 0.0000 0.5000 0.2343 [4 per cell]  2 Sb 2.64, 2 In 2.87
Sb 0.0000 0.0000 0.5000 [2 per cell]  4 Re 2.64